(1)
ZnCd2SnPd | meta-GGA SCAN | PBEsol geometry

The calculation puts the formation energy at 0.51 eV per atom. As for the energy: -28.096 eV/atom. The density of states at the Fermi level comes out at 0.42 states/eV per atom. The calculated volume is 116 Å³/f.u.

The space group is P4/mmm (No. 123) and the conventional cell measures 4.819, 4.819 and 5.008 Å, with angles of 90.00, 90.00 and 90.00 degrees. The asymmetric unit holds Zn at (0.000, 0.000, 0.000), Cd at (0.000, 0.500, 0.000), Sn at (0.000, 0.000, 0.500) and Pd at (0.500, 0.500, 0.500).


(2)
Ta2TlCdPd | meta-GGA SCAN | PBEsol geometry

The calculation puts the formation energy at 1.27 eV per atom. As for the energy: -52.477 eV/atom. The density of states at the Fermi level comes out at 0.72 states/eV per atom. The calculated volume is 117 Å³/f.u.

The space group is P4/mmm (No. 123) and the conventional cell measures 4.860, 4.860 and 4.968 Å, with angles of 90.00, 90.00 and 90.00 degrees. The asymmetric unit holds Ta at (0.000, 0.500, 0.000), Tl at (0.000, 0.000, 0.500), Cd at (0.500, 0.500, 0.500) and Pd at (0.000, 0.000, 0.000).


(3)
Tb4CdPd | meta-GGA SCAN | PBEsol geometry

The calculation puts the formation energy at -0.54 eV per atom. As for the energy: -42.246 eV/atom. The density of states at the Fermi level comes out at 0.67 states/eV per atom. The calculated volume is 154 Å³/f.u.

The space group is F-43m (No. 216) and the conventional cell measures 13.496, 13.496 and 13.496 Å, with angles of 90.00, 90.00 and 90.00 degrees. The asymmetric unit holds Tb at (0.000, 0.000, 0.185), Tb at (0.060, 0.250, 0.750), Tb at (0.104, 0.104, 0.396), Cd at (0.169, 0.169, 0.169) and Pd at (0.105, 0.105, 0.605).